[1]
Computed, not measured: an optimized crystal structure of Na2HoNpS4 at the GGA-PBE level of DFT.

Calculated values
total DFT energy (no corrections): -6.169 eV/atom
total magnetization: 0.5000 μB per atom
D(E_F): 8.70 states/eV/cell

```
data_Na2HoNpS4
_chemical_formula_sum 'Na2 Ho1 Np1 S4'
_cell_length_a 6.933
_cell_length_b 4.000
_cell_length_c 7.066
_cell_angle_alpha 90.00
_cell_angle_beta 109.27
_cell_angle_gamma 90.00
_symmetry_space_group_name_H-M 'P 1 2/m 1'
_symmetry_Int_Tables_number 10
_symmetry_space_group_name_Hall '-P 2y'
loop_
_atom_site_label
_atom_site_fract_x
_atom_site_fract_y
_atom_site_fract_z
Na1 0.000 0.000 0.000
Na2 0.500 0.500 0.000
Ho1 0.000 0.500 0.500
Np1 0.500 0.000 0.500
S1 0.239 0.000 0.727
S2 0.255 0.500 0.274
```

[2]
Computed, not measured: an optimized crystal structure of HoCuHgRh at the GGA-PBE level of DFT.

Calculated values
total DFT energy (no corrections): -4.406 eV/atom
energy of formation from the pure elements: -0.32 eV/atom
total magnetization: 0.0000 μB per atom
D(E_F): 9.19 states/eV/cell

```
data_HoCuHgRh
_chemical_formula_sum 'Ho4 Cu4 Hg4 Rh4'
_cell_length_a 6.663
_cell_length_b 6.663
_cell_length_c 6.663
_cell_angle_alpha 90.00
_cell_angle_beta 90.00
_cell_angle_gamma 90.00
_symmetry_space_group_name_H-M 'F -4 3 m'
_symmetry_Int_Tables_number 216
_symmetry_space_group_name_Hall 'F -4 2 3'
loop_
_atom_site_label
_atom_site_fract_x
_atom_site_fract_y
_atom_site_fract_z
Ho1 0.000 0.000 0.000
Cu1 0.250 0.250 0.250
Hg1 0.000 0.000 0.500
Rh1 0.250 0.250 0.750
```

[3]
Computed, not measured: an optimized crystal structure of Dy3PaTl3Te8 at the GGA-PBE level of DFT.

Calculated values
total DFT energy (no corrections): -4.703 eV/atom
total magnetization: 0.0696 μB per atom
D(E_F): 13.42 states/eV/cell

```
data_Dy3PaTl3Te8
_chemical_formula_sum 'Dy9 Pa3 Tl9 Te24'
_cell_length_a 8.8436
_cell_length_b 8.8436
_cell_length_c 24.7775
_cell_angle_alpha 90.00
_cell_angle_beta 90.00
_cell_angle_gamma 120.00
_symmetry_space_group_name_H-M 'R -3 m'
_symmetry_Int_Tables_number 166
_symmetry_space_group_name_Hall '-R 3 2"'
loop_
_atom_site_label
_atom_site_fract_x
_atom_site_fract_y
_atom_site_fract_z
Dy1 0.0000 0.5000 0.0000
Pa1 0.0000 0.0000 0.0000
Tl1 0.0000 0.5000 0.5000
Te1 0.0000 0.0000 0.2623
Te2 0.0009 0.5004 0.2624
```

[4]
Computed, not measured: an optimized crystal structure of Sn2Pd3Au2 at the GGA-PBE level of DFT.

Calculated values
total DFT energy (no corrections): -4.632 eV/atom
energy of formation from the pure elements: -0.33 eV/atom
total magnetization: 0.0000 μB per atom
D(E_F): 4.48 states/eV/cell

```
data_Sn2Pd3Au2
_chemical_formula_sum 'Sn4 Pd6 Au4'
_cell_length_a 9.271
_cell_length_b 4.080
_cell_length_c 6.752
_cell_angle_alpha 90.00
_cell_angle_beta 99.41
_cell_angle_gamma 90.00
_symmetry_space_group_name_H-M 'C 1 2/m 1'
_symmetry_Int_Tables_number 12
_symmetry_space_group_name_Hall '-C 2y'
loop_
_atom_site_label
_atom_site_fract_x
_atom_site_fract_y
_atom_site_fract_z
Sn1 0.080 0.000 0.256
Pd1 0.000 0.500 0.500
Pd2 0.222 0.000 0.654
Au1 0.137 0.500 0.918
```

[5]
Computed, not measured: an optimized crystal structure of Sm2Al2Cu15 at the GGA-PBE level of DFT.

Calculated values
total DFT energy (no corrections): -4.290 eV/atom
energy of formation from the pure elements: -0.16 eV/atom
total magnetization: 0.0000 μB per atom
D(E_F): 32.42 states/eV/cell

```
data_Sm2Al2Cu15
_chemical_formula_sum 'Sm6 Al6 Cu45'
_cell_length_a 8.6128
_cell_length_b 8.6128
_cell_length_c 12.7546
_cell_angle_alpha 90.00
_cell_angle_beta 90.00
_cell_angle_gamma 120.00
_symmetry_space_group_name_H-M 'R -3 m'
_symmetry_Int_Tables_number 166
_symmetry_space_group_name_Hall '-R 3 2"'
loop_
_atom_site_label
_atom_site_fract_x
_atom_site_fract_y
_atom_site_fract_z
Sm1 0.0000 0.0000 0.1499
Al1 0.0000 0.0000 0.3965
Cu1 0.0000 0.2946 0.5000
Cu2 0.0000 0.5000 0.0000
Cu3 0.0014 0.5007 0.3478
```

[6]
Computed, not measured: an optimized crystal structure of TiIn2Pd3 at the GGA-PBE level of DFT.

Calculated values
total DFT energy (no corrections): -5.370 eV/atom
energy of formation from the pure elements: -0.54 eV/atom
total magnetization: 0.0000 μB per atom
D(E_F): 8.76 states/eV/cell
ΔE to the lowest computed polymorph: 0 meV/atom

```
data_TiIn2Pd3
_chemical_formula_sum 'Ti4 In8 Pd12'
_cell_length_a 4.618
_cell_length_b 13.915
_cell_length_c 6.476
_cell_angle_alpha 90.00
_cell_angle_beta 90.00
_cell_angle_gamma 90.00
_symmetry_space_group_name_H-M 'C m m m'
_symmetry_Int_Tables_number 65
_symmetry_space_group_name_Hall '-C 2 2'
loop_
_atom_site_label
_atom_site_fract_x
_atom_site_fract_y
_atom_site_fract_z
Ti1 0.000 0.163 0.000
In1 0.000 0.167 0.500
In2 0.000 0.500 0.000
In3 0.000 0.500 0.500
Pd1 0.000 0.000 0.242
Pd2 0.000 0.323 0.223
```

[7]
Computed, not measured: an optimized crystal structure of Na2HfTe3O12 at the GGA-PBE level of DFT.

Calculated values
total DFT energy (no corrections): -6.056 eV/atom
total magnetization: 0.0000 μB per atom

```
data_Na2HfTe3O12
_chemical_formula_sum 'Na6 Hf3 Te9 O36'
_cell_length_a 7.2979
_cell_length_b 7.2979
_cell_length_c 18.2454
_cell_angle_alpha 90.00
_cell_angle_beta 90.00
_cell_angle_gamma 120.00
_symmetry_space_group_name_H-M 'R -3 m'
_symmetry_Int_Tables_number 166
_symmetry_space_group_name_Hall '-R 3 2"'
loop_
_atom_site_label
_atom_site_fract_x
_atom_site_fract_y
_atom_site_fract_z
Na1 0.0000 0.0000 0.1900
Hf1 0.0000 0.0000 0.5000
Te1 0.0000 0.5000 0.0000
O1 0.0646 0.5323 0.1019
O2 0.0751 0.5375 0.3593
```

[8]
Computed, not measured: an optimized crystal structure of Pm4Mg5Ge2 at the GGA-PBE level of DFT.

Calculated values
total DFT energy (no corrections): -3.596 eV/atom
energy of formation from the pure elements: -0.30 eV/atom
total magnetization: 0.0000 μB per atom
D(E_F): 8.00 states/eV/cell

```
data_Pm4Mg5Ge2
_chemical_formula_sum 'Pm4 Mg5 Ge2'
_cell_length_a 7.658
_cell_length_b 4.275
_cell_length_c 9.105
_cell_angle_alpha 90.00
_cell_angle_beta 92.19
_cell_angle_gamma 90.00
_symmetry_space_group_name_H-M 'P 1 2/m 1'
_symmetry_Int_Tables_number 10
_symmetry_space_group_name_Hall '-P 2y'
loop_
_atom_site_label
_atom_site_fract_x
_atom_site_fract_y
_atom_site_fract_z
Pm1 0.184 0.000 0.347
Pm2 0.226 0.000 0.923
Mg1 0.155 0.500 0.632
Mg2 0.444 0.500 0.163
Mg3 0.500 0.500 0.500
Ge1 0.069 0.500 0.130
```

[9]
Computed, not measured: an optimized crystal structure of CuNi2Ir at the GGA-PBE level of DFT.

Calculated values
total DFT energy (no corrections): -6.034 eV/atom
energy of formation from the pure elements: 0.10 eV/atom
total magnetization: 0.3006 μB per atom
D(E_F): 4.57 states/eV/cell

```
data_CuNi2Ir
_chemical_formula_sum 'Cu1 Ni2 Ir1'
_cell_length_a 2.631
_cell_length_b 2.631
_cell_length_c 7.056
_cell_angle_alpha 90.00
_cell_angle_beta 90.00
_cell_angle_gamma 90.00
_symmetry_space_group_name_H-M 'P 4 m m'
_symmetry_Int_Tables_number 99
_symmetry_space_group_name_Hall 'P 4 -2'
loop_
_atom_site_label
_atom_site_fract_x
_atom_site_fract_y
_atom_site_fract_z
Cu1 0.000 0.000 0.000
Ni1 0.000 0.000 0.524
Ni2 0.500 0.500 0.757
Ir1 0.500 0.500 0.272
```

[10]
Computed, not measured: an optimized crystal structure of Ag2BiCl6 at the GGA-PBE level of DFT.

Calculated values
total DFT energy (no corrections): -2.890 eV/atom
total magnetization: 0.0000 μB per atom
D(E_F): 3.49 states/eV/cell
ΔE to the lowest computed polymorph: 44 meV/atom

```
data_Ag2BiCl6
_chemical_formula_sum 'Ag4 Bi2 Cl12'
_cell_length_a 13.135
_cell_length_b 4.731
_cell_length_c 9.065
_cell_angle_alpha 90.00
_cell_angle_beta 110.05
_cell_angle_gamma 90.00
_symmetry_space_group_name_H-M 'C 1 2/m 1'
_symmetry_Int_Tables_number 12
_symmetry_space_group_name_Hall '-C 2y'
loop_
_atom_site_label
_atom_site_fract_x
_atom_site_fract_y
_atom_site_fract_z
Ag1 0.181 0.000 0.119
Bi1 0.000 0.000 0.500
Cl1 0.019 0.000 0.216
Cl2 0.136 0.500 0.580
Cl3 0.202 0.500 0.078
```